(1)
8
Lattice="5.563 0.000 0.000 0.000 6.384 0.000 -2.781 -3.192 7.100" Properties=species:S:1:pos:R:3 comment="GGA-PBE PaBi2Pb, relaxed" volume_a3_per_cell=252.15 e_above_lowest_polymorph_kcal_per_mol_atoms=4.68 density_g_cm3=11.3 energy_ev_per_atom=-5.139 spacegroup=Imma ef_ev_per_atom=0.1022 pbc="T T T"
Pa 2.781 3.192 2.447
Pa 2.781 0.000 4.089
Bi 0.000 1.596 3.268
Bi 0.000 4.788 3.268
Bi 0.000 0.000 6.116
Bi 0.000 3.192 0.420
Pb 2.781 3.192 5.788
Pb 2.781 0.000 0.748

---

(2)
8
Lattice="-5.708 6.428 -0.371 -2.965 -3.064 -7.474 -6.756 -0.364 -2.124" Properties=species:S:1:pos:R:3 comment="GGA-PBE Sr2AlAs, relaxed" volume_a3_per_cell=269.74 e_above_lowest_polymorph_kcal_per_mol_atoms=9.46 density_g_cm3=3.4 energy_ev_per_atom=-3.182 spacegroup=I-42d ef_ev_per_atom=-0.2432 pbc="T T T"
Sr -5.813 3.752 -1.709
Sr -4.070 -1.411 -5.237
Sr -8.223 1.088 -4.292
Sr -12.752 2.571 -8.700
As 0.000 0.000 0.000
As -8.401 3.873 -3.209
Al -4.336 1.682 -3.923
Al -7.029 -0.873 -6.760

---

(3)
4
Lattice="-0.735 2.993 0.555 -2.839 -1.334 3.431 4.182 -0.186 6.538" Properties=species:S:1:pos:R:3 comment="GGA-PBE ReAgBr2, relaxed" volume_a3_per_cell=107.82 e_above_lowest_polymorph_kcal_per_mol_atoms=0.00 formation_energy_uncorrected_mev_per_atom=438 density_g_cm3=7.0 energy_ev_per_atom=-4.223 spacegroup=Amm2 pbc="T T T"
Re 1.751 -0.463 4.811
Br 3.574 -0.307 6.384
Br -0.127 0.904 3.788
Ag 0.264 0.393 7.063

---

(4)
44
Lattice="6.299 0.000 0.000 0.000 7.983 0.000 0.000 0.000 14.534" Properties=species:S:1:pos:R:3 comment="GGA-PBE Zn3As2O6, relaxed" volume_a3_per_cell=730.80 e_above_lowest_polymorph_kcal_per_mol_atoms=0.00 formation_energy_uncorrected_mev_per_atom=-1381 density_g_cm3=4.0 energy_ev_per_atom=-5.278 spacegroup=Pbam pbc="T T T"
Zn 0.000 2.509 7.267
Zn 3.150 5.474 0.000
Zn 0.000 5.474 7.267
Zn 3.150 2.509 0.000
Zn 2.757 6.263 3.251
Zn 5.906 1.720 4.016
Zn 3.542 6.263 11.283
Zn 0.393 1.720 10.517
Zn 5.906 6.263 4.016
Zn 2.757 1.720 3.251
Zn 0.393 6.263 10.517
Zn 3.542 1.720 11.283
As 0.599 3.991 1.836
As 3.748 3.991 5.431
As 5.700 3.991 12.698
As 2.551 3.991 9.103
As 4.855 0.000 1.400
As 1.706 0.000 5.867
As 1.444 0.000 13.134
As 4.593 0.000 8.667
O 2.600 1.391 13.012
O 5.749 6.592 8.788
O 3.699 1.391 1.521
O 0.550 6.592 5.746
O 3.699 6.592 1.521
O 0.550 1.391 5.746
O 2.600 6.592 13.012
O 5.749 1.391 8.788
O 2.140 2.587 10.176
O 5.289 5.395 11.624
O 4.159 2.587 4.357
O 1.010 5.395 2.909
O 4.159 5.395 4.357
O 1.010 2.587 2.909
O 2.140 5.395 10.176
O 5.289 2.587 11.624
O 5.323 0.000 3.144
O 2.173 0.000 4.122
O 0.976 0.000 11.389
O 4.126 0.000 10.411
O 4.194 3.991 13.678
O 1.045 3.991 8.122
O 2.105 3.991 0.855
O 5.254 3.991 6.412

---

(5)
4
Lattice="-1.208 2.559 -2.732 -2.063 0.902 1.758 2.305 4.163 2.881" Properties=species:S:1:pos:R:3 comment="GGA-PBE Ir2RuSe, relaxed" volume_a3_per_cell=60.42 formation_energy_uncorrected_mev_per_atom=329 density_g_cm3=15.5 energy_ev_per_atom=-7.291 spacegroup=Amm2 pbc="T T T"
Ir -1.619 0.795 1.460
Ir -0.409 2.496 -0.312
Ru 0.056 2.661 2.468
Se -0.936 5.108 2.367

---

(6)
3
Lattice="-5.445 0.121 4.090 -5.566 -2.584 2.957 1.066 -1.097 2.505" Properties=species:S:1:pos:R:3 comment="GGA-PBE TaCoCl, relaxed" volume_a3_per_cell=55.89 e_above_lowest_polymorph_kcal_per_mol_atoms=2.97 formation_energy_uncorrected_mev_per_atom=86 density_g_cm3=8.2 energy_ev_per_atom=-6.849 spacegroup=I4mm pbc="T T T"
Cl 0.605 -1.149 2.678
Co -2.408 -1.490 3.812
Ta -7.075 -2.018 5.567

---

(7)
10
Lattice="5.452 0.000 8.372 -2.726 4.722 8.372 -2.726 -4.722 8.372" Properties=species:S:1:pos:R:3 comment="GGA-PBE CsCaI3, relaxed" volume_a3_per_cell=646.51 formation_energy_uncorrected_mev_per_atom=-1417 density_g_cm3=2.8 energy_ev_per_atom=-2.918 spacegroup=R-3c pbc="T T T"
Cs 0.000 0.000 0.000
Cs 0.000 0.000 12.558
I 2.903 1.472 14.650
I -0.177 -3.250 14.650
I -2.726 1.778 14.650
I 2.726 -1.778 10.465
I 0.177 3.250 10.465
I -2.903 -1.472 10.465
Ca 0.000 0.000 6.279
Ca 0.000 0.000 18.836

---

(8)
8
Lattice="5.135 0.008 0.007 2.563 4.449 0.010 2.561 1.480 4.668" Properties=species:S:1:pos:R:3 comment="GGA-PBE CuTcF6, relaxed" volume_a3_per_cell=106.42 e_above_lowest_polymorph_kcal_per_mol_atoms=0.00 formation_energy_uncorrected_mev_per_atom=-1900 density_g_cm3=4.3 energy_ev_per_atom=-5.111 spacegroup=R-3 pbc="T T T"
Cu 5.129 2.968 2.343
Tc 0.000 0.000 0.000
F 3.451 2.801 3.544
F 6.111 1.599 3.546
F 4.435 1.435 1.135
F 4.147 4.338 1.139
F 6.807 3.136 1.141
F 5.823 4.502 3.550

---

(9)
5
Lattice="3.845 0.000 0.000 0.000 3.845 0.000 1.923 1.923 6.863" Properties=species:S:1:pos:R:3 comment="GGA-PBE YB2Sb2, relaxed" volume_a3_per_cell=101.48 e_above_lowest_polymorph_kcal_per_mol_atoms=0.00 formation_energy_uncorrected_mev_per_atom=720 density_g_cm3=5.8 energy_ev_per_atom=-4.893 spacegroup=I4/mmm pbc="T T T"
Y 0.000 0.000 0.000
Sb 1.923 1.923 1.936
Sb 3.845 3.845 4.928
B 3.845 1.923 3.432
B 1.923 3.845 3.432

---

(10)
11
Lattice="-1.218 -2.220 -3.945 4.480 -1.171 -0.724 -3.892 -12.226 10.866" Properties=species:S:1:pos:R:3 comment="GGA-PBE Tb6Ho2Tm3, relaxed" volume_a3_per_cell=362.14 e_above_lowest_polymorph_kcal_per_mol_atoms=6.42 density_g_cm3=8.2 energy_ev_per_atom=-4.279 spacegroup=I4/mmm ef_ev_per_atom=0.2984 pbc="T T T"
Tb 1.692 -3.958 1.705
Tb -1.157 -4.482 0.094
Tb -2.322 -11.659 4.493
Tb 0.527 -11.135 6.103
Tb 0.738 -7.195 1.036
Tb -1.368 -8.422 5.162
Ho -2.054 -12.647 7.751
Ho 1.424 -2.970 -1.553
Tm 0.000 0.000 0.000
Tm 0.271 -10.073 2.800
Tm -0.900 -5.544 3.398

---

(11)
5
Lattice="-0.702 3.640 2.071 -3.065 -2.489 3.337 3.347 -0.775 2.496" Properties=species:S:1:pos:R:3 comment="GGA-PBE ScTa2TeC, relaxed" volume_a3_per_cell=93.21 formation_energy_uncorrected_mev_per_atom=181 density_g_cm3=9.7 energy_ev_per_atom=-8.299 spacegroup=P4/mmm pbc="T T T"
Sc -0.210 0.188 3.952
C 0.000 0.000 0.000
Te -1.533 -1.245 1.669
Ta 1.673 -0.387 1.248
Ta -0.351 1.820 1.035

---

(12)
28
Lattice="11.398 0.000 0.000 0.000 8.763 -5.059 0.000 0.000 10.119" Properties=species:S:1:pos:R:3 comment="GGA-PBE La9Tm4Th, relaxed" volume_a3_per_cell=1010.73 density_g_cm3=7.1 energy_ev_per_atom=-4.824 spacegroup=P6_3/mmc ef_ev_per_atom=0.1508 pbc="T T T"
La 0.402 6.947 1.914
La 0.402 6.947 -1.914
La 0.402 3.632 0.000
La 10.997 1.816 3.145
La 10.997 1.816 6.974
La 10.997 5.131 5.059
La 6.101 1.816 3.145
La 6.101 1.816 6.974
La 6.101 5.131 5.059
La 5.297 6.947 1.914
La 5.297 6.947 -1.914
La 5.297 3.632 0.000
La 2.850 4.072 7.054
La 2.850 4.072 3.065
La 2.850 0.618 5.059
La 8.549 4.691 -1.994
La 8.549 4.691 1.994
La 8.549 8.145 0.000
Tm 2.850 0.949 1.643
Tm 2.850 0.949 8.476
Tm 2.850 6.866 5.059
Tm 8.549 7.815 3.416
Tm 8.549 7.815 -3.416
Tm 8.549 1.897 0.000
Tm 0.000 0.000 0.000
Tm 5.699 0.000 0.000
Th 2.850 5.842 0.000
Th 8.549 2.921 5.059

---

(13)
8
Lattice="3.100 0.000 0.000 0.000 3.100 0.000 0.000 0.000 12.548" Properties=species:S:1:pos:R:3 comment="GGA-PBE Ti4Os3W, relaxed" volume_a3_per_cell=120.59 density_g_cm3=13.0 energy_ev_per_atom=-10.312 spacegroup=P4/mmm ef_ev_per_atom=-0.5342 pbc="T T T"
Os 1.550 1.550 3.189
Os 1.550 1.550 6.274
Os 1.550 1.550 9.359
W 1.550 1.550 0.000
Ti 0.000 0.000 10.914
Ti 0.000 0.000 1.633
Ti 0.000 0.000 4.724
Ti 0.000 0.000 7.824

---

(14)
12
Lattice="7.282 0.000 0.000 0.000 7.394 0.000 0.000 -3.697 7.940" Properties=species:S:1:pos:R:3 comment="GGA-PBE RbTlPb3Au, relaxed" volume_a3_per_cell=427.54 density_g_cm3=8.6 energy_ev_per_atom=-2.996 spacegroup=Cmcm ef_ev_per_atom=-0.0399 pbc="T T T"
Rb 5.462 0.000 4.585
Rb 1.821 3.697 3.355
Tl 1.821 0.000 5.606
Tl 5.462 3.697 2.334
Pb 1.821 0.000 2.048
Pb 0.000 1.985 0.000
Pb 3.641 5.409 0.000
Pb 3.641 1.985 0.000
Pb 0.000 5.409 0.000
Pb 5.462 3.697 5.892
Au 1.821 3.697 6.738
Au 5.462 0.000 1.202

---

(15)
5
Lattice="-3.141 3.067 -1.532 -0.313 -2.325 -4.014 -7.066 -3.709 0.006" Properties=species:S:1:pos:R:3 comment="GGA-PBE Ca2TeBr2, relaxed" volume_a3_per_cell=157.19 e_above_lowest_polymorph_kcal_per_mol_atoms=8.06 formation_energy_uncorrected_mev_per_atom=-1529 density_g_cm3=3.9 energy_ev_per_atom=-3.627 spacegroup=I4/mmm pbc="T T T"
Ca -3.085 -0.666 -2.066
Ca -7.435 -2.300 -3.474
Te 0.000 0.000 0.000
Br -5.967 -0.135 -2.149
Br -4.553 -2.831 -3.391

---

(16)
12
Lattice="-2.805 -1.375 5.250 3.800 -4.031 -2.574 8.454 6.323 4.991" Properties=species:S:1:pos:R:3 comment="GGA-PBE Pm2DyEr6Tm3, relaxed" volume_a3_per_cell=371.83 density_g_cm3=8.8 energy_ev_per_atom=-4.552 spacegroup=C2/m ef_ev_per_atom=0.0224 pbc="T T T"
Pm 1.598 -3.146 0.034
Pm -0.603 -2.261 2.641
Dy 0.000 0.000 0.000
Er 5.956 1.116 7.030
Er 2.893 -2.465 3.279
Er 3.492 -0.200 0.636
Er 8.155 0.232 4.426
Er 6.556 3.382 4.387
Er 1.294 0.684 3.240
Tm 6.927 -0.428 1.224
Tm 2.522 1.344 6.442
Tm 4.724 0.458 3.833

---

(17)
7
Lattice="-0.299 0.533 -3.173 1.312 -4.282 -0.842 -4.510 0.145 2.094" Properties=species:S:1:pos:R:3 comment="GGA-PBE Mg2H4Ru, relaxed" volume_a3_per_cell=63.88 e_above_lowest_polymorph_kcal_per_mol_atoms=5.56 density_g_cm3=4.0 energy_ev_per_atom=-3.809 spacegroup=C2/m pbc="T T T"
Mg -0.816 -2.457 -1.981
Mg -2.682 -1.148 0.060
H -3.224 0.112 -1.323
H -0.273 -3.717 -0.598
H -0.661 -0.490 -1.665
H -2.836 -3.115 -0.256
Ru 0.000 0.000 0.000

---

(18)
7
Lattice="4.942 0.000 0.000 0.000 4.942 0.000 2.471 2.471 6.383" Properties=species:S:1:pos:R:3 comment="GGA-PBE Zn4AgAu2, relaxed" volume_a3_per_cell=155.93 e_above_lowest_polymorph_kcal_per_mol_atoms=8.22 density_g_cm3=8.1 energy_ev_per_atom=-1.866 spacegroup=I4/mmm ef_ev_per_atom=0.2061 pbc="T T T"
Zn 2.471 2.471 3.841
Zn 4.942 4.942 2.543
Zn 0.000 2.471 0.000
Zn 2.471 0.000 0.000
Au 2.471 2.471 1.365
Au 4.942 4.942 5.019
Ag 0.000 0.000 0.000

---

(19)
4
Lattice="2.658 0.000 0.000 0.000 4.307 0.000 0.000 0.000 5.988" Properties=species:S:1:pos:R:3 comment="GGA-PBE LiScMo2, relaxed" volume_a3_per_cell=68.57 e_above_lowest_polymorph_kcal_per_mol_atoms=4.50 density_g_cm3=5.9 energy_ev_per_atom=-7.099 spacegroup=Pmm2 ef_ev_per_atom=0.3778 pbc="T T T"
Li 1.329 2.154 4.545
Mo 0.000 0.000 0.077
Mo 1.329 2.154 1.349
Sc 0.000 0.000 3.011